This record from the Alexandria database describes a relaxed NdBiPtO6 crystal. The functional is PBE.

Lattice parameters (Å, degrees): 5.695 5.695 9.187 90.00 90.00 120.00
Fractional coordinates of all 18 atoms:
O 0.955 0.325 0.127
O 0.325 0.369 0.873
O 0.631 0.955 0.873
O 0.955 0.631 0.373
O 0.675 0.631 0.127
O 0.045 0.369 0.627
O 0.369 0.045 0.127
O 0.045 0.675 0.873
O 0.325 0.955 0.627
O 0.631 0.675 0.627
O 0.369 0.325 0.373
O 0.675 0.045 0.373
Pt 0.667 0.333 0.250
Pt 0.333 0.667 0.750
Bi 0.000 0.000 0.500
Bi 0.000 0.000 0.000
Nd 0.667 0.333 0.750
Nd 0.333 0.667 0.250

- Space group: P-31c
- Total magnetic moment: 0.00 Bohr magnetons per cell
- V: 14.33 Å³ per atom
- Total energy: -6.264 eV/atom
- Formation energy (no corrections): -11.9 eV/f.u.